(1)
PBE BaPb2Cl6, optimized geometry; symmetry = P-31m; final energy = -3.867 eV per atom; ρ = 3.926 g cm⁻³; total moment = 0.00 μB/f.u.; formation energy from raw total energies = -1.599 eV/atom
1.0
6.687 0.000 0.000
0.000 6.471 -3.736
0.000 0.000 7.472
Ba Pb Cl
1 2 6
Direct
0.000 0.000 0.000 Ba
0.500 0.667 0.333 Pb
0.500 0.333 0.667 Pb
0.739 0.653 0.653 Cl
0.261 0.653 0.000 Cl
0.261 0.000 0.653 Cl
0.739 0.347 0.000 Cl
0.261 0.347 0.347 Cl
0.739 0.000 0.347 Cl


(2)
PBE BaPb2Cl, optimized geometry; symmetry = P4/mmm; final energy = -3.440 eV per atom; ρ = 5.605 g cm⁻³; total moment = 0.00 μB/f.u.; polymorph energy (0 for the lowest one) = 264 meV/atom; formation energy from raw total energies = -0.644 eV/atom
1.0
5.425 0.000 0.000
0.000 5.425 0.000
0.000 0.000 5.910
Pb Ba Cl
2 1 1
Direct
0.000 0.000 0.016 Pb
0.000 0.000 0.484 Pb
0.500 0.500 0.250 Ba
0.500 0.500 0.750 Cl


(3)
PBE BaPbCl2, optimized geometry; symmetry = Pm; final energy = -3.648 eV per atom; ρ = 4.859 g cm⁻³; total moment = 0.87 μB/f.u.; polymorph energy (0 for the lowest one) = 84 meV/atom; formation energy from raw total energies = -1.317 eV/atom
1.0
6.135 0.000 0.000
0.000 4.494 0.047
0.000 2.163 5.172
Pb Ba Cl
1 1 2
Direct
0.000 0.537 0.547 Pb
0.500 0.924 0.778 Ba
0.000 0.815 0.995 Cl
0.500 0.225 0.181 Cl